# 1
Compound: Ce4In3Pb
Source: Alexandria via LeMat-Bulk
Functional: PBE-GGA
Structure: relaxed

```
Ce4In3Pb
1.0
-0.317 3.267 -3.601
-4.078 -2.142 -1.588
-2.909 5.051 8.138
Ce Pb In
4 1 3
Direct
0.874 0.874 0.748 Ce
0.626 0.626 0.252 Ce
0.126 0.126 0.252 Ce
0.374 0.374 0.748 Ce
0.500 0.000 0.000 Pb
0.000 0.500 0.000 In
0.250 0.750 0.500 In
0.750 0.250 0.500 In
```

## Properties
Relative energy among the computed polymorphs, meV/atom: 0
Formation energy, eV/atom: -0.37
Calculated volume, A^3/atom: 27.89
Space-group type: No. 139

# 2
Compound: SmZnAgGe
Source: Alexandria via LeMat-Bulk
Functional: PBE-GGA
Structure: relaxed

```
SmZnAgGe
1.0
4.867 0.000 0.000
2.434 4.215 0.000
2.434 1.405 3.974
Ge Zn Sm Ag
1 1 1 1
Direct
0.000 0.000 0.000 Ge
0.500 0.500 0.500 Zn
0.750 0.750 0.750 Sm
0.250 0.250 0.250 Ag
```

## Properties
Formation energy, eV/atom: -0.31
Calculated volume, A^3/atom: 20.38
Space-group type: No. 216

# 3
Compound: LiSc4Pt2
Source: Alexandria via LeMat-Bulk
Functional: PBE-GGA
Structure: relaxed

```
LiSc4Pt2
1.0
4.442 0.000 1.388
2.004 3.964 1.388
-0.028 -0.017 7.892
Sc Pt Li
4 2 1
Direct
0.871 0.871 0.386 Sc
0.380 0.380 0.861 Sc
0.620 0.620 0.139 Sc
0.129 0.129 0.614 Sc
0.253 0.253 0.242 Pt
0.747 0.747 0.758 Pt
0.000 0.000 0.000 Li
```

## Properties
Formation energy, eV/atom: -0.81
Calculated volume, A^3/atom: 19.88
Space-group type: No. 166

# 4
Compound: Tc4Os5
Source: Alexandria via LeMat-Bulk
Functional: PBE-GGA
Structure: relaxed

```
Tc4Os5
1.0
-3.221 4.639 4.917
-5.507 -2.475 4.430
3.668 -1.436 3.758
Os Tc
10 8
Direct
0.333 0.000 0.750 Os
0.667 0.333 0.750 Os
0.667 0.667 0.000 Os
0.333 0.333 0.000 Os
0.333 0.667 0.250 Os
0.667 0.000 0.250 Os
0.333 0.333 0.500 Os
0.000 0.667 0.750 Os
0.000 0.333 0.250 Os
0.667 0.667 0.500 Os
0.000 0.333 0.750 Tc
0.667 0.000 0.750 Tc
0.000 0.667 0.250 Tc
0.667 0.333 0.250 Tc
0.333 0.667 0.750 Tc
0.000 0.000 0.000 Tc
0.333 0.000 0.250 Tc
0.000 0.000 0.500 Tc
```

## Properties
Relative energy among the computed polymorphs, meV/atom: 79
Formation energy, eV/atom: 0.15
Calculated volume, A^3/atom: 14.69
Space-group type: No. 193

# 5
Compound: Ti4MnCu
Source: Alexandria via LeMat-Bulk
Functional: PBE-GGA
Structure: relaxed

```
Ti4MnCu
1.0
2.985 -0.001 0.000
0.001 2.985 0.000
0.000 0.000 10.085
Mn Cu Ti
1 1 4
Direct
0.000 0.000 0.000 Mn
0.500 0.500 0.500 Cu
0.500 0.500 0.856 Ti
0.500 0.500 0.144 Ti
0.000 0.000 0.331 Ti
0.000 0.000 0.669 Ti
```

## Properties
Relative energy among the computed polymorphs, meV/atom: 0
Formation energy, eV/atom: -0.11
Calculated volume, A^3/atom: 14.97
Space-group type: No. 123

# 6
Compound: Cs2NaSiS4
Source: Alexandria via LeMat-Bulk
Functional: PBE-GGA
Structure: relaxed

```
Cs2NaSiS4
1.0
6.326 0.000 0.000
3.163 6.970 0.000
3.163 0.000 12.745
S Si Na Cs
8 2 2 4
Direct
0.207 0.317 0.401 S
0.274 0.183 0.901 S
0.392 0.683 0.401 S
0.358 0.817 0.099 S
0.476 0.317 0.599 S
0.543 0.183 0.099 S
0.825 0.817 0.901 S
0.925 0.683 0.599 S
0.250 0.500 0.500 Si
0.500 0.000 0.000 Si
0.750 0.500 0.500 Na
0.000 0.000 0.000 Na
0.177 0.000 0.646 Cs
0.823 0.000 0.354 Cs
0.927 0.500 0.146 Cs
0.573 0.500 0.854 Cs
```

## Properties
Formation energy from raw total energies, meV per atom: -931
Calculated volume, A^3/atom: 35.13
Space-group type: No. 70

# 7
Compound: CaLa2TlRu
Source: Alexandria via LeMat-Bulk
Functional: PBE-GGA
Structure: relaxed

```
CaLa2TlRu
1.0
-2.227 -1.389 -4.683
3.344 -4.185 -0.348
-3.739 -3.215 2.732
Ru La Ca Tl
1 2 1 1
Direct
0.000 0.000 0.000 Ru
0.500 0.000 0.000 La
0.000 0.500 0.000 La
0.000 0.000 0.500 Ca
0.500 0.500 0.500 Tl
```

## Properties
Relative energy among the computed polymorphs, meV/atom: 0
Formation energy, eV/atom: -0.23
Calculated volume, A^3/atom: 32.49
Space-group type: No. 123

# 8
Compound: ScReOs4
Source: Alexandria via LeMat-Bulk
Functional: PBE-GGA
Structure: relaxed

```
ScReOs4
1.0
-3.849 0.033 3.409
-2.359 4.416 1.171
-4.822 0.835 -1.576
Os Re Sc
4 1 1
Direct
0.875 0.375 0.375 Os
0.375 0.375 0.875 Os
0.375 0.875 0.375 Os
0.375 0.375 0.375 Os
0.750 0.750 0.750 Re
0.000 0.000 0.000 Sc
```

## Properties
Formation energy, eV/atom: 0.24
Calculated volume, A^3/atom: 16.02
Space-group type: No. 216

# 9
Compound: NdCo2Sn4
Source: Alexandria via LeMat-Bulk
Functional: PBE-GGA
Structure: relaxed

```
NdCo2Sn4
1.0
4.394 0.000 0.000
0.000 7.092 0.000
0.000 0.000 18.388
Sn Co Nd
16 8 4
Direct
0.750 0.989 0.069 Sn
0.250 0.701 0.680 Sn
0.250 0.011 0.931 Sn
0.250 0.285 0.699 Sn
0.250 0.215 0.199 Sn
0.750 0.201 0.820 Sn
0.750 0.715 0.301 Sn
0.250 0.489 0.431 Sn
0.750 0.299 0.320 Sn
0.250 0.363 0.028 Sn
0.250 0.799 0.180 Sn
0.750 0.511 0.569 Sn
0.750 0.637 0.972 Sn
0.250 0.137 0.528 Sn
0.750 0.785 0.801 Sn
0.750 0.863 0.472 Sn
0.250 0.988 0.787 Co
0.750 0.251 0.465 Co
0.250 0.749 0.535 Co
0.750 0.012 0.213 Co
0.250 0.751 0.035 Co
0.750 0.249 0.965 Co
0.750 0.488 0.713 Co
0.250 0.512 0.287 Co
0.250 0.508 0.859 Nd
0.250 0.992 0.359 Nd
0.750 0.492 0.141 Nd
0.750 0.008 0.641 Nd
```

## Properties
Formation energy, eV/atom: -0.31
Calculated volume, A^3/atom: 20.47
Space-group type: No. 62

# 10
Compound: Bi2PbAu2
Source: Alexandria via LeMat-Bulk
Functional: PBE-GGA
Structure: relaxed

```
Bi2PbAu2
1.0
-2.492 -1.460 -3.608
3.616 0.715 -2.788
2.613 -6.537 -2.120
Bi Pb Au
2 1 2
Direct
0.250 0.750 0.500 Bi
0.750 0.250 0.500 Bi
0.000 0.000 0.000 Pb
0.601 0.601 0.797 Au
0.399 0.399 0.203 Au
```

## Properties
Relative energy among the computed polymorphs, meV/atom: 88
Formation energy, eV/atom: 0.05
Calculated volume, A^3/atom: 28.14
Space-group type: No. 139

# 11
Compound: PrHo6Tm4
Source: Alexandria via LeMat-Bulk
Functional: PBE-GGA
Structure: relaxed

```
PrHo6Tm4
1.0
-1.172 -5.022 0.936
5.321 0.114 7.272
-8.713 2.174 0.757
Tm Ho Pr
4 6 1
Direct
0.500 0.795 0.205 Tm
0.500 0.795 0.590 Tm
0.500 0.410 0.205 Tm
0.000 0.333 0.667 Tm
0.500 0.586 0.793 Ho
0.500 0.207 0.414 Ho
0.500 0.207 0.793 Ho
0.000 0.535 0.465 Ho
0.000 0.535 0.071 Ho
0.000 0.929 0.465 Ho
0.000 0.000 0.000 Pr
```

## Properties
Relative energy among the computed polymorphs, meV/atom: 211
Formation energy, eV/atom: 0.33
Calculated volume, A^3/atom: 33.51
Space-group type: No. 187